A relaxed structure of PuCrTc, computed with PBE.

E_form = 0.29 eV per atom
energy relative to the lowest polymorph listed for this composition = 0.106 eV per atom

Cell: 4.549 4.623 4.846 Å, 92.04 113.95 100.25°
Element x y z (fractional)
1 Pu 0.001 0.247 0.093
2 Pu 0.999 0.753 0.907
3 Cr 0.326 0.292 0.798
4 Cr 0.674 0.708 0.202
5 Tc 0.310 0.784 0.589
6 Tc 0.690 0.216 0.411

=====

A relaxed structure of LaReOF2, computed with PBE.

ΔE_f (raw) = -130.1 kJ per mole of atoms

Cell: 4.760 4.760 4.621 Å, 90.00 90.00 90.00°
Element x y z (fractional)
1 La 0.000 0.000 0.000
2 Re 0.500 0.500 0.500
3 O 0.000 0.000 0.500
4 F 0.000 0.500 0.000
5 F 0.500 0.000 0.000

=====

A relaxed structure of MnBeCuOs, computed with PBE.

E_form = 0.08 eV per atom

Cell: 4.012 4.012 4.012 Å, 60.00 60.00 60.00°
Element x y z (fractional)
1 Mn 0.000 0.000 0.000
2 Be 0.500 0.500 0.500
3 Cu 0.750 0.750 0.750
4 Os 0.250 0.250 0.250

=====

A relaxed structure of Y2TlCl, computed with PBE.

ΔE_f (raw) = -45.0 kJ per mole of atoms
energy relative to the lowest polymorph listed for this composition = 0.425 eV per atom

Cell: 6.667 6.667 6.667 Å, 142.33 142.33 54.33°
Element x y z (fractional)
1 Y 0.000 0.000 0.000
2 Y 0.750 0.250 0.500
3 Tl 0.500 0.500 0.000
4 Cl 0.250 0.750 0.500